A plane-wave DFT calculation with PBE-GGA was carried out for a relaxed Na2SrAg2Sb2 crystal.

Summary:
**ΔE_f (raw)**: -0.515 eV per atom
**Total magnetization**: 0.000 μB per formula unit

Cell and atoms, written as POSCAR:
```
Na2SrAg2Sb2
1.0
4.879 0.000 0.000
2.440 4.226 0.000
2.440 1.409 9.243
Na Sr Ag Sb
2 1 2 2
Cartesian
2.440 1.409 5.468
7.319 4.226 3.775
0.000 0.000 0.000
4.879 2.817 2.176
4.879 2.817 7.067
7.319 4.226 7.099
2.440 1.409 2.144
```